Entry 1:
A plane-wave DFT calculation with SCAN was carried out for a PBEsol-optimized structure of CuMoN2O.

extended XYZ file:
```
5
Lattice="-0.848 3.556 0.125 -0.961 -0.105 -3.528 -3.365 -0.836 0.941" Properties=species:S:1:pos:R:3 pbc="T T T"
O -1.682 -0.418 0.471
Cu 0.000 0.000 0.000
N -0.480 -0.052 -1.764
N -0.424 1.778 0.063
Mo -2.587 1.308 -1.231
```

M_tot (Bohr magnetons per cell): 1.4
Crystal system: tetragonal



Entry 2:
A plane-wave DFT calculation with SCAN was carried out for a PBEsol-optimized structure of CuMoS4N.

extended XYZ file:
```
7
Lattice="5.357 0.000 0.000 2.679 5.317 0.000 2.679 0.000 5.317" Properties=species:S:1:pos:R:3 pbc="T T T"
S 6.740 4.900 1.725
S 6.740 0.417 3.592
S 1.297 1.725 0.417
S 6.654 3.592 4.900
Mo 0.000 0.000 0.000
Cu 2.679 0.000 0.000
N 4.018 2.659 2.659
```

M_tot (Bohr magnetons per cell): 2.7
Crystal system: tetragonal



Number 1: formation energy from raw total energies 982 meV/atom. Number 2: formation energy from raw total energies 398 meV/atom.